(one)
Below is Zr3TeRu after structural relaxation, with properties calculated at the PBE-GGA level.

total magnetization: 0.0 μB per cell

abc: 5.0356 5.0356 5.0356
angles: 90.00 90.00 90.00
Closest atoms and distances in Å follow each position.
Space group Pm-3m (No. 221)
Unique sites:
Zr: 0.0000 0.0000 0.5000 x3  2 Ru 2.52
Te: 0.5000 0.5000 0.5000 x1  12 Zr 3.56
Ru: 0.0000 0.0000 0.0000 x1  6 Zr 2.52

=====

(two)
Below is Zr3TeRu after structural relaxation, with properties calculated at the PBE-GGA level.

total magnetization: 0.0 μB per cell

abc: 5.1618 5.1618 5.1618
angles: 90.00 90.00 90.00
Closest atoms and distances in Å follow each position.
Space group Pm-3m (No. 221)
Unique sites:
Zr: 0.0000 0.0000 0.5000 x3  2 Te 2.58
Te: 0.0000 0.0000 0.0000 x1  6 Zr 2.58
Ru: 0.5000 0.5000 0.5000 x1  12 Zr 3.65

=====

The winner here is (one), beating the second structure by 1.054 eV/atom.

=====

(one)
Below is TmTh2Ru after structural relaxation, with properties calculated at the PBE-GGA level.

total magnetization: 0.0 μB per cell

abc: 3.6372 3.6372 8.1481
angles: 90.00 90.00 90.00
Closest atoms and distances in Å follow each position.
Space group P4/mmm (No. 123)
Unique sites:
Tm: 0.0000 0.0000 0.0000 x1  8 Th 3.53, 4 Tm 3.64
Th: 0.5000 0.5000 0.2974 x2  4 Ru 3.06, 1 Th 3.30
Ru: 0.0000 0.0000 0.5000 x1  8 Th 3.06

=====

(two)
Below is TmTh2Ru after structural relaxation, with properties calculated at the PBE-GGA level.

total magnetization: 0.0 μB per cell

abc: 7.1848 9.8979 6.2122
angles: 90.00 90.00 90.00
Closest atoms and distances in Å follow each position.
Space group Pnma (No. 62)
Unique sites:
Tm: 0.0414 0.2500 0.1507 x4  2 Ru 2.93-3.05
Th: 0.1708 0.0624 0.6646 x8  2 Ru 2.80
Ru: 0.1165 0.7500 0.3940 x4  4 Th 2.80, 2 Tm 2.93-3.05

=====

The winner here is (two), beating the second structure by 0.206 eV/atom.

=====

(one)
Below is TmTh2Ru after structural relaxation, with properties calculated at the PBE-GGA level.

total magnetization: 0.0 μB per cell

abc: 3.8074 3.8074 30.6819
angles: 90.00 90.00 120.00
Closest atoms and distances in Å follow each position.
Space group R-3m (No. 166, hexagonal axes)
Unique sites:
Tm: 0.0000 0.0000 0.0000 x3  2 Th 3.41, 6 Tm 3.81
Th: 0.0000 0.0000 0.1111 x6  3 Ru 2.78
Ru: 0.0000 0.0000 0.5000 x3  6 Th 2.78

=====

(two)
Below is TmTh2Ru after structural relaxation, with properties calculated at the PBE-GGA level.

total magnetization: 0.0 μB per cell

abc: 3.8374 11.6356 9.8650
angles: 90.00 90.00 90.00
Closest atoms and distances in Å follow each position.
Space group Cmcm (No. 63)
Unique sites:
Tm: 0.0000 0.0820 0.2500 x4  3 Ru 3.11-3.37
Th: 0.0000 0.3610 0.0639 x8  2 Ru 2.77
Ru: 0.0000 0.2076 0.7500 x4  4 Th 2.77

=====

The winner here is (two), beating the second structure by 0.399 eV/atom.

=====

(one)
Below is ThVRu after structural relaxation, with properties calculated at the PBE-GGA level.

total magnetization: 0.0 μB per cell

abc: 3.1501 3.1501 11.7108
angles: 90.00 90.00 90.00
Closest atoms and distances in Å follow each position.
Space group I4mm (No. 107)
Unique sites:
Th: 0.0000 0.0000 0.0000 x2  4 Th 3.15, 4 Ru 3.21, 5 V 3.25-3.49
V: 0.0000 0.0000 0.7024 x2  4 Ru 2.52
Ru: 0.0000 0.0000 0.3022 x2  4 V 2.52

=====

(two)
Below is ThVRu after structural relaxation, with properties calculated at the PBE-GGA level.

total magnetization: 0.0 μB per cell

abc: 3.8284 15.7738 4.2892
angles: 90.00 90.00 90.00
Closest atoms and distances in Å follow each position.
Space group Cmcm (No. 63)
Unique sites:
Th: 0.0000 0.1592 0.2500 x4  5 Ru 2.88-2.97
V: 0.0000 0.5000 0.0000 x4  2 V 2.14
Ru: 0.0000 0.3474 0.2500 x4  2 V 2.63, 4 Th 2.88

=====

The winner here is (one), beating the second structure by 0.222 eV/atom.

=====

(one)
Below is Y2Th2Ru3 after structural relaxation, with properties calculated at the PBE-GGA level.

total magnetization: 0.0 μB per cell

abc: 8.3210 4.8111 8.7298
angles: 90.00 108.63 90.00
Closest atoms and distances in Å follow each position.
Space group C2/m (No. 12)
Unique sites:
Y: 0.1287 0.0000 0.3860 x4  5 Ru 3.04-3.19, 3 Y 3.36
Th: 0.1194 0.5000 0.8582 x4  7 Ru 2.88-3.13
Ru: 0.0000 0.0000 0.0000 x2  6 Th 3.01-3.02, 2 Y 3.19
Ru: 0.2451 0.5000 0.2361 x4  4 Th 2.88-3.13, 4 Y 3.04-3.13

=====

(two)
Below is Y2Th2Ru3 after structural relaxation, with properties calculated at the PBE-GGA level.

total magnetization: 0.0 μB per cell

abc: 13.5143 4.7421 5.3840
angles: 90.00 95.56 90.00
Closest atoms and distances in Å follow each position.
Space group C2/m (No. 12)
Unique sites:
Y: 0.0946 0.0000 0.3237 x4  5 Ru 2.90-2.99
Th: 0.1566 0.5000 0.8491 x4  2 Ru 2.58-2.69
Ru: 0.0000 0.5000 0.5000 x2  2 Th 2.69, 4 Y 2.90
Ru: 0.2227 0.5000 0.3146 x4  1 Th 2.58

=====

The winner here is (one), beating the second structure by 0.035 eV/atom.

=====

(one)
Below is Y2ThRu3 after structural relaxation, with properties calculated at the PBE-GGA level.

total magnetization: 0.0 μB per cell

abc: 4.8826 4.8826 5.9998
angles: 90.00 90.00 120.00
Closest atoms and distances in Å follow each position.
Space group P-3m1 (No. 164)
Unique sites:
Y: 0.3333 0.6667 0.1562 x2  8 Ru 2.97-3.03
Th: 0.0000 0.0000 0.5000 x1  8 Ru 2.97-3.00
Ru: 0.0000 0.0000 0.0000 x1  6 Y 2.97, 2 Th 3.00
Ru: 0.3333 0.6667 0.6571 x2  3 Th 2.97, 5 Y 2.99-3.03

=====

(two)
Below is Y2ThRu3 after structural relaxation, with properties calculated at the PBE-GGA level.

total magnetization: 0.0 μB per cell

abc: 3.4098 5.6115 13.8305
angles: 90.00 90.00 90.00
Closest atoms and distances in Å follow each position.
Space group Immm (No. 71)
Unique sites:
Y: 0.0000 0.0000 0.1663 x4  6 Ru 2.81-2.96
Th: 0.0000 0.0000 0.5000 x2  6 Ru 2.78-2.81
Ru: 0.0000 0.5000 0.1591 x4  2 Th 2.78, 4 Y 2.81-2.96
Ru: 0.0000 0.5000 0.5000 x2  2 Th 2.81, 4 Y 2.86

=====

The winner here is (one), beating the second structure by 0.404 eV/atom.

=====

(one)
Below is YTh2Ru after structural relaxation, with properties calculated at the PBE-GGA level.

total magnetization: 0.0 μB per cell

abc: 3.6379 3.6379 8.3301
angles: 90.00 90.00 90.00
Closest atoms and distances in Å follow each position.
Space group P4/mmm (No. 123)
Unique sites:
Y: 0.0000 0.0000 0.0000 x1  8 Th 3.60, 4 Y 3.64
Th: 0.5000 0.5000 0.3022 x2  4 Ru 3.05, 1 Th 3.30
Ru: 0.0000 0.0000 0.5000 x1  8 Th 3.05

=====

(two)
Below is YTh2Ru after structural relaxation, with properties calculated at the PBE-GGA level.

total magnetization: 0.0 μB per cell

abc: 6.8516 3.9517 9.3061
angles: 90.00 104.36 90.00
Closest atoms and distances in Å follow each position.
Space group Cm (No. 8)
Unique sites:
Y: 0.0000 0.0000 0.0000 x2  6 Th 3.66-3.68, 6 Y 3.95
Th: 0.0607 0.5000 0.6818 x2  3 Ru 2.82
Th: 0.2732 0.5000 0.3194 x2  3 Ru 2.79-2.80
Ru: 0.1658 0.0000 0.4979 x2  6 Th 2.79-2.82

=====

The winner here is (two), beating the second structure by 0.061 eV/atom.

=====

(one)
Below is YTh2Ru after structural relaxation, with properties calculated at the PBE-GGA level.

total magnetization: 0.0 μB per cell

abc: 3.8236 3.8236 30.7492
angles: 90.00 90.00 120.00
Closest atoms and distances in Å follow each position.
Space group R-3m (No. 166, hexagonal axes)
Unique sites:
Y: 0.0000 0.0000 0.0000 x3  2 Th 3.43, 6 Y 3.82
Th: 0.0000 0.0000 0.1116 x6  3 Ru 2.78
Ru: 0.0000 0.0000 0.5000 x3  6 Th 2.78

=====

(two)
Below is YTh2Ru after structural relaxation, with properties calculated at the PBE-GGA level.

total magnetization: 0.0 μB per cell

abc: 7.2349 9.8961 6.2792
angles: 90.00 90.00 90.00
Closest atoms and distances in Å follow each position.
Space group Pnma (No. 62)
Unique sites:
Y: 0.0399 0.2500 0.1477 x4  2 Ru 3.01-3.15
Th: 0.1714 0.0628 0.6631 x8  2 Ru 2.78
Ru: 0.1132 0.7500 0.3822 x4  4 Th 2.78, 1 Y 3.01

=====

The winner here is (two), beating the second structure by 0.378 eV/atom.